The following is a DFT calculation (GGA-PBE) of a relaxed HgHSF crystal.

CIF file:
```
data_HgHSF
_cell_length_a 7.143
_cell_length_b 4.924
_cell_length_c 4.402
_cell_angle_alpha 90.00
_cell_angle_beta 95.27
_cell_angle_gamma 90.00
_symmetry_space_group_name_H-M 'C 1 m 1'
_symmetry_Int_Tables_number 8
_symmetry_space_group_name_Hall 'C -2y'
loop_
_atom_site_label
_atom_site_type_symbol
_atom_site_fract_x
_atom_site_fract_y
_atom_site_fract_z
_atom_site_occupancy
Hg1 Hg 0.000 0.000 0.000 1
H1 H 0.334 0.000 0.647 1
S1 S 0.350 0.000 0.955 1
F1 F 0.381 0.500 0.469 1
```

Properties
Its electronic total energy is -3.04 eV/atom. For the total magnetization, the calculation gives 0.0 Bohr magnetons per cell. The mass density is 5.4 g/cm³.